# 1
The following is a PBE-GGA calculation of crystalline ErP12Os4 at its relaxed geometry, from Alexandria.

Energy of formation from the pure elements   -0.560 eV/atom

The structure in POSCAR format:
```
ErP12Os4
1.0
-4.049 4.049 4.049
4.049 -4.049 4.049
4.049 4.049 -4.049
Er P Os
1 12 4
Cartesian
0.000 0.000 0.000
2.885 0.000 1.152
5.213 0.000 1.152
4.049 2.898 -1.164
1.152 2.885 0.000
2.898 -1.164 4.049
0.000 1.152 2.885
4.049 2.898 1.164
1.152 5.213 0.000
2.898 1.164 4.049
0.000 1.152 5.213
-1.164 4.049 2.898
1.164 4.049 2.898
2.025 2.025 -2.025
2.025 -2.025 2.025
-2.025 2.025 2.025
2.025 2.025 2.025
```

***

# 2
The following is a PBE-GGA calculation of crystalline ZnFeW at its relaxed geometry, from Alexandria.

E above lowest polymorph   0.94 kcal/mol of atoms
Energy of formation from the pure elements   0.186 eV/atom

The structure in POSCAR format:
```
ZnFeW
1.0
0.000 2.117 6.353
1.575 0.000 6.353
1.575 2.117 0.000
Zn Fe W
1 1 1
Cartesian
0.000 0.000 0.000
1.575 2.117 4.327
1.575 2.117 8.634
```

***

# 3
The following is a PBE-GGA calculation of crystalline SmPuSi2 at its relaxed geometry, from Alexandria.

Raw formation energy   -0.3185 eV/atom
E above lowest polymorph   6.09 kcal/mol of atoms

The structure in POSCAR format:
```
SmPuSi2
1.0
2.416 1.395 4.415
-2.416 1.395 4.415
0.000 -2.790 4.415
Sm Pu Si
1 1 2
Cartesian
0.000 0.000 0.000
0.000 0.000 6.623
0.000 0.000 3.247
0.000 0.000 9.998
```

***

| no. | total magnetization (μB/f.u.) |
| --- | --- |
| 1 | 0.00 |
| 2 | 2.03 |
| 3 | 5.43 |